Compound: GaBi2Os2
Source: the Alexandria database
Functional: GGA-PBE
Structure: relaxed Values from VASP.

The structure in Quantum ESPRESSO input format:
```
&SYSTEM
  ibrav = 0, nat = 10, ntyp = 3
/
ATOMIC_SPECIES
Os 190.23 Os.upf
Bi 208.98 Bi.upf
Ga 69.72 Ga.upf
ATOMIC_POSITIONS angstrom
Os 2.866 6.862 0.000
Os 6.862 5.124 0.000
Os 5.124 1.129 0.000
Os 1.129 2.866 0.000
Bi 1.232 5.228 1.619
Bi 5.228 6.758 1.619
Bi 6.758 2.763 1.619
Bi 2.763 1.232 1.619
Ga 0.000 0.000 0.000
Ga 3.995 3.995 0.000
CELL_PARAMETERS angstrom
7.991 0.000 0.000
0.000 7.991 0.000
0.000 0.000 3.238
```

- DOS(E_F): 0.8562 states/eV per atom
- Calculated volume: 20.7 A^3/atom
- ΔE_f: 0.847 eV per atom
- SG: P4/mbm, No. 127
- Total DFT energy (no corrections): -5.80 eV per atom